Entry 1:
Material: TaAlFe2
Method: DFT, PBE
State: relaxed

Output
The total energy comes out at -65.78 eV for the cell shown. As for the space-group type: No. 194.

Lattice parameters (Å, degrees): 4.179 4.179 7.145 90.00 90.00 120.00
Atoms (fractional coordinates):
Ta1 0.000 0.000 0.000
Ta2 0.000 0.000 0.500
Al1 0.333 0.667 0.250
Al2 0.667 0.333 0.750
Fe1 0.333 0.667 0.601
Fe2 0.333 0.667 0.899
Fe3 0.667 0.333 0.101
Fe4 0.667 0.333 0.399

Entry 2:
Material: HoAgSnTe3
Method: DFT, PBE
State: relaxed

Output
The total energy comes out at -99.29 eV for the cell shown. The energy above the lowest structure with this stoichiometry comes out at 0.000 eV per atom. As for the space-group type: No. 62.

Lattice parameters (Å, degrees): 14.501 4.315 11.567 90.00 90.00 90.00
Atoms (fractional coordinates):
Ho1 0.010 0.250 0.177
Ho2 0.490 0.750 0.677
Ho3 0.510 0.250 0.323
Ho4 0.990 0.750 0.823
Ag1 0.007 0.750 0.412
Ag2 0.493 0.250 0.912
Ag3 0.507 0.750 0.088
Ag4 0.993 0.250 0.588
Sn1 0.220 0.250 0.447
Sn2 0.280 0.750 0.947
Sn3 0.720 0.250 0.053
Sn4 0.780 0.750 0.553
Te1 0.111 0.250 0.941
Te2 0.124 0.750 0.620
Te3 0.151 0.750 0.247
Te4 0.349 0.250 0.747
Te5 0.376 0.250 0.120
Te6 0.389 0.750 0.441
Te7 0.611 0.250 0.559
Te8 0.624 0.750 0.880
Te9 0.651 0.750 0.253
Te10 0.849 0.250 0.753
Te11 0.876 0.250 0.380
Te12 0.889 0.750 0.059

Entry 3:
Material: Lu4Sc2Ni3N3
Method: DFT, PBE
State: relaxed

Output
The total energy comes out at -166.39 eV for the cell shown. As for the space-group type: No. 15.

Lattice parameters (Å, degrees): 5.649 5.649 14.107 101.64 101.64 59.88
Atoms (fractional coordinates):
Lu1 0.032 0.199 0.096
Lu2 0.134 0.301 0.404
Lu3 0.199 0.032 0.596
Lu4 0.301 0.134 0.904
Lu5 0.699 0.866 0.096
Lu6 0.801 0.968 0.404
Lu7 0.866 0.699 0.596
Lu8 0.968 0.801 0.904
Sc1 0.368 0.534 0.101
Sc2 0.466 0.632 0.399
Sc3 0.534 0.368 0.601
Sc4 0.632 0.466 0.899
Ni1 0.073 0.927 0.750
Ni2 0.103 0.417 0.751
Ni3 0.417 0.103 0.251
Ni4 0.583 0.897 0.749
Ni5 0.897 0.583 0.249
Ni6 0.927 0.073 0.250
N1 0.000 0.500 0.000
N2 0.184 0.658 0.500
N3 0.342 0.816 0.000
N4 0.500 0.000 0.500
N5 0.658 0.184 0.000
N6 0.816 0.342 0.500

Entry 4:
Material: Zr2SiGeS2
Method: DFT, PBE
State: relaxed

Output
The total energy comes out at -42.39 eV for the cell shown. As for the space-group type: No. 115.

Lattice parameters (Å, degrees): 3.600 3.600 8.126 90.00 90.00 90.00
Atoms (fractional coordinates):
Zr1 0.000 0.500 0.228
Zr2 0.500 0.000 0.772
Si1 0.000 0.000 0.500
Ge1 0.500 0.500 0.500
S1 0.000 0.500 0.879
S2 0.500 0.000 0.121

Entry 5:
Material: NbZnNi
Method: DFT, PBE
State: relaxed

Output
The total energy comes out at -60.96 eV for the cell shown. As for the space-group type: No. 216.

Lattice parameters (Å, degrees): 5.924 5.924 5.924 90.00 90.00 90.00
Atoms (fractional coordinates):
Nb1 0.000 0.000 0.000
Nb2 0.000 0.500 0.500
Nb3 0.500 0.000 0.500
Nb4 0.500 0.500 0.000
Zn1 0.250 0.250 0.250
Zn2 0.250 0.750 0.750
Zn3 0.750 0.250 0.750
Zn4 0.750 0.750 0.250
Ni1 0.250 0.250 0.750
Ni2 0.250 0.750 0.250
Ni3 0.750 0.250 0.250
Ni4 0.750 0.750 0.750

Entry 6:
Material: PmZnRe
Method: DFT, PBE
State: relaxed

Output
The total energy comes out at -57.45 eV for the cell shown. The energy above the lowest structure with this stoichiometry comes out at 0.653 eV per atom. As for the space-group type: No. 216.

Lattice parameters (Å, degrees): 6.726 6.726 6.726 90.00 90.00 90.00
Atoms (fractional coordinates):
Pm1 0.000 0.000 0.000
Pm2 0.000 0.500 0.500
Pm3 0.500 0.000 0.500
Pm4 0.500 0.500 0.000
Zn1 0.250 0.250 0.250
Zn2 0.250 0.750 0.750
Zn3 0.750 0.250 0.750
Zn4 0.750 0.750 0.250
Re1 0.250 0.250 0.750
Re2 0.250 0.750 0.250
Re3 0.750 0.250 0.250
Re4 0.750 0.750 0.750